VASP calculation (PBE) on Al4C after structural relaxation.

- Energy of formation from the pure elements: 562 meV/atom
- Space group: Im-3m, No. 229
- Uncorrected energy: -21.39 eV for the cell shown
- V: 74.4 Å³ per cell
- M_tot: 0.000 μB/f.u.
- ρ: 2.7 g/cm³

Lattice parameters (Å, degrees): 4.589 4.589 4.589 109.47 109.47 109.47
Atoms (fractional coordinates):
Al 0.500 0.000 0.000
Al 0.500 0.500 0.500
Al 0.000 0.000 0.500
Al 0.000 0.500 0.000
C 0.000 0.000 0.000

VASP calculation (PBE) on AlC after structural relaxation.

- Energy of formation from the pure elements: 466 meV/atom
- Space group: C2/m, No. 12
- Uncorrected energy: -48.13 eV for the cell shown
- V: 121.3 Å³ per cell
- M_tot: 0.000 μB/f.u.
- ρ: 2.1 g/cm³

Lattice parameters (Å, degrees): 5.707 3.224 8.057 90.00 125.09 90.00
Atoms (fractional coordinates):
Al 0.217 0.500 0.891
Al 0.783 0.000 0.609
Al 0.783 0.500 0.109
Al 0.217 0.000 0.391
C 0.987 0.500 0.580
C 0.013 0.500 0.420
C 0.013 0.000 0.920
C 0.987 0.000 0.080